ZnFe2Se: optimized geometry, GGA-PBE.

It has space group I4/mmm (No. 139), with a = 3.818 Å, b = 3.818 Å, c = 7.827 Å, α = 90.00°, β = 90.00° and γ = 90.00°. The asymmetric unit holds Zn at (0.000, 0.000, 0.000), Fe at (0.000, 0.500, 0.250) and Se at (0.000, 0.000, 0.500).

Its raw formation energy is 0.279 eV/atom. For the density, the calculation gives 7.46 g cm⁻³. The calculation puts the total moment at 1.38 μB per atom.



ZnFeSe2: optimized geometry, GGA-PBE.

It has space group Cmmm (No. 65), with a = 5.769 Å, b = 7.124 Å, c = 3.429 Å, α = 90.00°, β = 90.00° and γ = 90.00°. The asymmetric unit holds Zn at (0.000, 0.000, 0.000), Fe at (0.000, 0.500, 0.000) and Se at (0.250, 0.250, 0.500).

Its raw formation energy is 0.279 eV/atom. For the density, the calculation gives 6.58 g cm⁻³. The calculation puts the total moment at 0.81 μB per atom.